## MgAgO2F (PBE)

Data for crystalline MgAgO2F at its relaxed geometry.

- Formation energy from raw total energies: -0.641 eV per atom
- V: 69 Å³ per cell

Unit cell a=4.081 b=4.081 c=4.129 alpha=90.00 beta=90.00 gamma=90.00
Fractional coordinates of all 5 atoms:
Mg (0.500, 0.500, 0.500)
O (0.000, 0.500, 0.000)
O (0.500, 0.000, 0.000)
Ag (0.000, 0.000, 0.000)
F (0.000, 0.000, 0.500)